A plane-wave DFT calculation with GGA+U was carried out for a relaxed structure of NiTe3O.

- Magnetic moment: 0.000 μB/atom
- Distance to the lowest polymorph of the same formula: 1.05 eV/f.u.

CIF file:
```
data_NiTe3O
_chemical_formula_sum 'Ni1 Te3 O1'
_symmetry_space_group_name_H-M 'P m -3 m'
_symmetry_Int_Tables_number 221
_symmetry_space_group_name_Hall '-P 4 2 3'
_cell_length_a 4.903
_cell_length_b 4.903
_cell_length_c 4.903
_cell_angle_alpha 90.00
_cell_angle_beta 90.00
_cell_angle_gamma 90.00
loop_
_atom_site_label
_atom_site_type_symbol
_atom_site_fract_x
_atom_site_fract_y
_atom_site_fract_z
_atom_site_occupancy
Ni1 Ni 0.000 0.000 0.000 1
Te1 Te 0.000 0.000 0.500 1
O1 O 0.500 0.500 0.500 1
```